Entry 1:
{"formula": "PuHf2Zr4Sc", "functional": "GGA-PBE", "state": "relaxed", "cell": [[4.538, 0.000, 0.000], [0.000, 4.487, 0.741], [0.000, 3.026, 9.594]], "species": ["Pu", "Sc", "Hf", "Hf", "Zr", "Zr", "Zr", "Zr"], "frac_coords": [[0.500, 0.500, 0.000], [0.000, 0.500, 0.500], [0.000, 0.000, 0.000], [0.500, 0.000, 0.500], [0.000, 0.748, 0.752], [0.000, 0.252, 0.248], [0.500, 0.248, 0.752], [0.500, 0.752, 0.248]], "dos_at_fermi_per_ev_cell": 10.75, "ef_ev_per_atom": 0.06, "total_energy_ev_per_atom": -9.29}

=====

Entry 2:
{"formula": "PuHfZrSc", "functional": "GGA-PBE", "state": "relaxed", "cell": [[5.085, 0.000, 0.000], [2.543, 4.404, 0.000], [2.543, 1.468, 4.152]], "species": ["Zr", "Pu", "Hf", "Sc"], "frac_coords": [[0.750, 0.750, 0.750], [0.250, 0.250, 0.250], [0.500, 0.500, 0.500], [0.000, 0.000, 0.000]], "dos_at_fermi_per_ev_cell": 9.18, "relative_energy_ev_per_fu": 0.25, "ef_ev_per_atom": 0.16, "total_energy_ev_per_atom": -9.63}

=====

Entry 3:
{"formula": "PuHf2ZrSc", "functional": "GGA-PBE", "state": "relaxed", "cell": [[-3.147, 0.377, -3.761], [-1.760, -3.267, 4.361], [-3.847, 7.354, 3.957]], "species": ["Zr", "Zr", "Hf", "Hf", "Hf", "Hf", "Sc", "Sc", "Pu", "Pu"], "frac_coords": [[0.000, 0.000, 0.500], [0.000, 0.000, 0.000], [0.301, 0.602, 0.575], [0.699, 0.398, 0.425], [0.301, 0.602, 0.925], [0.699, 0.398, 0.075], [0.434, 0.868, 0.250], [0.566, 0.132, 0.750], [0.846, 0.692, 0.750], [0.154, 0.308, 0.250]], "dos_at_fermi_per_ev_cell": 15.62, "ef_ev_per_atom": 0.16, "total_energy_ev_per_atom": -9.67}

=====

Entry 4:
{"formula": "PuHfSe3", "functional": "GGA-PBE", "state": "relaxed", "cell": [[-1.338, -0.897, 3.537], [5.775, -6.620, 0.507], [9.365, 8.608, 5.727]], "species": ["Se", "Se", "Se", "Se", "Se", "Se", "Se", "Se", "Se", "Se", "Se", "Se", "Pu", "Pu", "Pu", "Pu", "Hf", "Hf", "Hf", "Hf"], "frac_coords": [[0.750, 0.349, 0.018], [0.750, 0.849, 0.482], [0.250, 0.292, 0.776], [0.250, 0.651, 0.982], [0.250, 0.518, 0.387], [0.250, 0.792, 0.724], [0.750, 0.482, 0.613], [0.750, 0.208, 0.276], [0.750, 0.708, 0.224], [0.750, 0.982, 0.887], [0.250, 0.151, 0.518], [0.250, 0.018, 0.113], [0.750, 0.550, 0.824], [0.750, 0.050, 0.676], [0.250, 0.450, 0.176], [0.250, 0.950, 0.324], [0.750, 0.828, 0.053], [0.250, 0.172, 0.947], [0.250, 0.672, 0.553], [0.750, 0.328, 0.447]], "dos_at_fermi_per_ev_cell": 50.24, "raw_formation_energy_kj_per_mol_atoms": -131.3, "total_energy_ev_per_atom": -8.31}